# 1
Entry from the Alexandria database: crystalline BaZnAg3 at its relaxed geometry (PBE).

Output
Space-group type ... Pm-3m
Formation energy ... -0.07 eV/atom
Spin magnetization ... 0.0 μB per cell

Unit cell a=5.0949 b=5.0949 c=5.0949 alpha=90.00 beta=90.00 gamma=90.00
Closest atoms and distances in Å follow each position.
Sites, in units of the cell vectors:
Zn: 0.0000 0.0000 0.0000  6 Ag 2.55
Ag: 0.0000 0.0000 0.5000  2 Zn 2.55
Ag: 0.0000 0.5000 0.0000  2 Zn 2.55
Ag: 0.5000 0.0000 0.0000  2 Zn 2.55
Ba: 0.5000 0.5000 0.5000  12 Ag 3.60


# 2
Entry from the Alexandria database: crystalline BaZn2Ag at its relaxed geometry (PBE).

Output
Space-group type ... Pmmm
Formation energy ... -0.03 eV/atom
Spin magnetization ... 0.0 μB per cell

Unit cell a=3.4892 b=3.7120 c=7.4113 alpha=90.00 beta=90.00 gamma=90.00
Closest atoms and distances in Å follow each position.
Sites, in units of the cell vectors:
Ba: 0.5000 0.5000 0.7500  8 Zn 3.49, 4 Ba 3.49-3.71, 2 Ag 3.71
Ag: 0.5000 0.5000 0.2500  8 Zn 2.87
Zn: 0.0000 0.0000 0.0713  1 Zn 2.65, 4 Ag 2.87
Zn: 0.0000 0.0000 0.4287  1 Zn 2.65, 4 Ag 2.87


# 3
Entry from the Alexandria database: crystalline Ba6Zn2Ag at its relaxed geometry (PBE).

Output
Space-group type ... Immm
Formation energy ... -0.09 eV/atom
Spin magnetization ... 0.0 μB per cell

Unit cell a=10.0874 b=10.0874 c=10.0874 alpha=109.18 beta=108.77 gamma=110.46
Closest atoms and distances in Å follow each position.
Sites, in units of the cell vectors:
Zn: 0.5000 0.3921 0.8921  1 Zn 2.52
Zn: 0.5000 0.6079 0.1079  1 Zn 2.52
Zn: 0.6611 0.0000 0.6611  8 Ba 3.49-3.56, 1 Zn 3.79
Zn: 0.3389 0.0000 0.3389  8 Ba 3.49-3.56, 1 Zn 3.79
Ba: 0.8159 0.7413 0.5572  1 Zn 3.53, 2 Ag 3.56-3.72
Ba: 0.6885 0.0202 0.3317  3 Zn 3.40-3.49
Ba: 0.8159 0.2586 0.0745  1 Zn 3.53, 2 Ag 3.56-3.72
Ba: 0.6885 0.3568 0.6683  3 Zn 3.40-3.49
Ba: 0.5718 0.7423 0.8296  3 Zn 3.56-3.66, 1 Ag 3.58
Ba: 0.3115 0.9798 0.6683  3 Zn 3.40-3.49
Ba: 0.0873 0.2577 0.8296  3 Zn 3.56-3.66, 1 Ag 3.58
Ba: 0.9127 0.7423 0.1704  3 Zn 3.56-3.66, 1 Ag 3.58
Ba: 0.1841 0.7413 0.9255  1 Zn 3.53, 2 Ag 3.56-3.72
Ba: 0.4282 0.2577 0.1704  3 Zn 3.56-3.66, 1 Ag 3.58
Ba: 0.3115 0.6432 0.3317  3 Zn 3.40-3.49
Ba: 0.1841 0.2586 0.4428  1 Zn 3.53, 2 Ag 3.56-3.72
Ag: 0.0000 0.5000 0.5000  4 Ba 3.56
Ag: 0.0000 0.0000 0.0000  8 Ba 3.58-3.72, 2 Zn 3.98


# 4
Entry from the Alexandria database: crystalline BaZn2Ag at its relaxed geometry (PBE).

Output
Space-group type ... Fm-3m
Formation energy ... -0.03 eV/atom
Spin magnetization ... 0.0 μB per cell

Unit cell a=5.2062 b=5.2062 c=5.2062 alpha=60.00 beta=60.00 gamma=60.00
Closest atoms and distances in Å follow each position.
Sites, in units of the cell vectors:
Ba: 0.5000 0.5000 0.5000  8 Zn 3.19
Ag: 0.0000 0.0000 0.0000  8 Zn 3.19
Zn: 0.2500 0.2500 0.2500  4 Ba 3.19, 4 Ag 3.19
Zn: 0.7500 0.7500 0.7500  4 Ba 3.19, 4 Ag 3.19